No. 1
Below is an optimized crystal structure of La4TlRh, with properties calculated at the PBE-GGA level.

The structure in POSCAR format:
```
La4TlRh
1.0
0.000 4.473 4.473
4.473 0.000 4.473
4.473 4.473 0.000
La Tl Rh
4 1 1
direct
0.124 0.124 0.124
0.124 0.124 0.627
0.124 0.627 0.124
0.627 0.124 0.124
0.500 0.500 0.500
0.750 0.750 0.750
```

Results
The total magnetization comes out at 0.001 μB per atom. The space group is F-43m (216). Its energy of formation from the pure elements is 371 meV per atom. As for the energy above the most stable polymorph in this dataset: 5.018 eV per formula unit.

No. 2
Below is an optimized crystal structure of Zr2AlSe, with properties calculated at the PBE-GGA level.

The structure in POSCAR format:
```
Zr2AlSe
1.0
1.697 0.980 8.667
-1.697 0.980 8.667
0.000 -1.960 8.667
Zr Al Se
2 1 1
direct
0.000 0.000 0.000
0.239 0.239 0.239
0.755 0.755 0.755
0.498 0.498 0.498
```

Results
The total magnetization comes out at 0.000 μB per atom. The space group is R3m (160). As for the energy above the most stable polymorph in this dataset: 1.266 eV per formula unit. Its formation energy from raw total energies is -0.375 eV/atom.

No. 3
Below is an optimized crystal structure of Y4NiPd, with properties calculated at the PBE-GGA level.

The structure in POSCAR format:
```
Y4NiPd
1.0
4.455 -6.685 0.000
4.455 6.685 0.000
-3.503 0.000 5.199
Y Ni Pd
8 2 2
direct
0.053 0.692 0.898
0.230 0.352 0.720
0.308 0.947 0.602
0.352 0.230 0.220
0.648 0.770 0.780
0.692 0.053 0.398
0.770 0.648 0.280
0.947 0.308 0.102
0.003 0.997 0.250
0.997 0.003 0.750
0.365 0.635 0.250
0.635 0.365 0.750
```

Results
The total magnetization comes out at 0.000 μB per atom. The space group is C2/c (15). Its energy of formation from the pure elements is -396 meV per atom. As for the energy above the most stable polymorph in this dataset: 0.000 eV per formula unit.

No. 4
Below is an optimized crystal structure of ZrAlSi3, with properties calculated at the PBE-GGA level.

The structure in POSCAR format:
```
ZrAlSi3
1.0
6.387 0.000 0.000
0.000 6.387 0.000
0.000 0.000 6.387
Zr Al Si
3 3 9
direct
0.000 0.000 0.500
0.000 0.500 0.000
0.500 0.000 0.000
0.000 0.500 0.500
0.500 0.000 0.500
0.500 0.500 0.000
0.270 0.270 0.270
0.270 0.270 0.730
0.270 0.730 0.270
0.270 0.730 0.730
0.500 0.500 0.500
0.730 0.270 0.270
0.730 0.270 0.730
0.730 0.730 0.270
0.730 0.730 0.730
```

Results
The total magnetization comes out at 0.000 μB per atom. The space group is Pm-3m (221). Its formation energy from raw total energies is 0.129 eV/atom.

No. 5
Below is an optimized crystal structure of PAu2Br, with properties calculated at the PBE-GGA level.

The structure in POSCAR format:
```
PAu2Br
1.0
-1.650 1.874 6.948
1.650 -1.874 6.948
1.650 1.874 -6.948
P Au Br
1 2 1
direct
0.000 0.000 0.000
0.132 0.632 0.500
0.437 0.437 0.000
0.760 0.260 0.500
```

Results
The total magnetization comes out at 0.000 μB per atom. The space group is Imm2 (44). As for the energy above the most stable polymorph in this dataset: 0.632 eV per formula unit. Its formation energy from raw total energies is 0.243 eV/atom.

No. 6
Below is an optimized crystal structure of Mg8In5Sn, with properties calculated at the PBE-GGA level.

The structure in POSCAR format:
```
Mg8In5Sn
1.0
-4.380 4.380 4.491
4.380 -4.380 4.491
4.380 4.380 -4.491
Mg In Sn
8 5 1
direct
0.159 0.434 0.084
0.350 0.075 0.916
0.409 0.148 0.395
0.566 0.650 0.725
0.753 0.015 0.605
0.852 0.247 0.261
0.925 0.841 0.275
0.985 0.591 0.739
0.000 0.000 0.000
0.196 0.305 0.672
0.477 0.804 0.110
0.633 0.523 0.328
0.695 0.367 0.890
0.250 0.750 0.500
```

Results
The total magnetization comes out at 0.000 μB per atom. The space group is I-4 (82). Its energy of formation from the pure elements is -25 meV per atom.

No. 7
Below is an optimized crystal structure of Th7Sn2Au2, with properties calculated at the PBE-GGA level.

The structure in POSCAR format:
```
Th7Sn2Au2
1.0
3.594 -5.562 0.000
3.594 5.562 0.000
0.000 0.000 8.642
Th Sn Au
7 2 2
direct
0.000 0.000 0.000
0.000 0.500 0.303
0.000 0.500 0.697
0.500 0.000 0.303
0.500 0.000 0.697
0.500 0.500 0.274
0.500 0.500 0.726
0.304 0.696 0.000
0.696 0.304 0.000
0.185 0.185 0.500
0.815 0.815 0.500
```

Results
The total magnetization comes out at 0.000 μB per atom. The space group is Cmmm (65). Its energy of formation from the pure elements is -27 meV per atom.

No. 8
Below is an optimized crystal structure of Tb3CeCo2, with properties calculated at the PBE-GGA level.

The structure in POSCAR format:
```
Tb3CeCo2
1.0
8.338 -1.927 0.000
8.338 1.927 0.000
-4.924 0.000 9.522
Tb Ce Co
6 2 4
direct
0.050 0.050 0.240
0.244 0.244 0.625
0.336 0.336 0.983
0.664 0.664 0.017
0.756 0.756 0.375
0.950 0.950 0.760
0.409 0.409 0.342
0.591 0.591 0.658
0.137 0.137 0.820
0.384 0.384 0.538
0.616 0.616 0.462
0.863 0.863 0.180
```

Results
The total magnetization comes out at 0.000 μB per atom. The space group is C2/m (12). Its energy of formation from the pure elements is -97 meV per atom. As for the energy above the most stable polymorph in this dataset: 0.315 eV per formula unit.

No. 9
Below is an optimized crystal structure of P2Rh, with properties calculated at the PBE-GGA level.

The structure in POSCAR format:
```
P2Rh
1.0
-1.692 1.692 3.767
1.692 -1.692 3.767
1.692 1.692 -3.767
P Rh
2 1
direct
0.162 0.162 0.000
0.838 0.838 0.000
0.500 0.500 0.000
```

Results
The total magnetization comes out at 0.000 μB per atom. The space group is I4/mmm (139). Its energy of formation from the pure elements is 141 meV per atom.

No. 10
Below is an optimized crystal structure of TbNd2Ru, with properties calculated at the PBE-GGA level.

The structure in POSCAR format:
```
TbNd2Ru
1.0
3.517 0.000 0.000
0.000 3.517 0.000
0.000 0.000 9.245
Tb Nd Ru
1 2 1
direct
0.000 0.000 0.000
0.500 0.500 0.314
0.500 0.500 0.686
0.000 0.000 0.500
```

Results
The total magnetization comes out at 0.000 μB per atom. The space group is P4/mmm (123). Its energy of formation from the pure elements is -28 meV per atom. As for the energy above the most stable polymorph in this dataset: 0.774 eV per formula unit.

No. 11
Below is an optimized crystal structure of Sr2Tc3, with properties calculated at the PBE-GGA level.

The structure in POSCAR format:
```
Sr2Tc3
1.0
3.580 0.000 0.000
-1.790 3.100 0.000
0.000 0.000 11.450
Sr Tc
2 3
direct
0.333 0.667 0.294
0.667 0.333 0.706
0.000 0.000 0.500
0.333 0.667 0.950
0.667 0.333 0.050
```

Results
The total magnetization comes out at 0.315 μB per atom. The space group is P-3m1 (164). Its energy of formation from the pure elements is 1000 meV per atom. As for the energy above the most stable polymorph in this dataset: 0.173 eV per formula unit.

No. 12
Below is an optimized crystal structure of Ho3HfO, with properties calculated at the PBE-GGA level.

The structure in POSCAR format:
```
Ho3HfO
1.0
4.790 0.000 0.000
0.000 4.790 0.000
0.000 0.000 4.790
Ho Hf O
3 1 1
direct
0.000 0.000 0.500
0.000 0.500 0.000
0.500 0.000 0.000
0.500 0.500 0.500
0.000 0.000 0.000
```

Results
The total magnetization comes out at 0.000 μB per atom. The space group is Pm-3m (221). Its formation energy from raw total energies is -1.066 eV/atom.